## Co2C3 (GGA-PBE)

Data for a relaxed Co2C3 crystal.

Output
Polymorph energy (0 for the lowest one), eV per formula unit: 0.000
V, Å³ per atom: 7.93
E_form, meV per atom: 460
E_tot, eV/atom: -7.92

```
data_Co2C3
_chemical_formula_sum 'Co2 C3'
_space_group_name_H-M_alt 'P -3 m 1'
_space_group_IT_number 164
_space_group_name_Hall '-P 3 2"'
_cell_length_a 2.5935
_cell_length_b 2.5935
_cell_length_c 6.8058
_cell_angle_alpha 90.00
_cell_angle_beta 90.00
_cell_angle_gamma 120.00
loop_
_atom_site_label
_atom_site_fract_x
_atom_site_fract_y
_atom_site_fract_z
Co1 0.3333 0.6667 0.3266
C1 0.0000 0.0000 0.5000
C2 0.3333 0.6667 0.0148
```